# 1
This record from Alexandria describes Cr3Si at its PBEsol-relaxed geometry. The functional is meta-GGA SCAN.

Cell: 2.498 2.498 7.675 Å, 90.00 90.00 108.56°
Atoms (fractional coordinates):
Cr 0.000 0.000 0.000
Cr 0.500 0.500 0.251
Cr 0.500 0.500 0.749
Si 0.000 0.000 0.500

# 2
This record from Alexandria describes CrSi2 at its PBEsol-relaxed geometry. The functional is meta-GGA SCAN.

Cell: 4.365 4.365 6.314 Å, 90.00 90.00 120.00°
Atoms (fractional coordinates):
Cr 0.000 0.500 0.167
Cr 0.500 0.000 0.500
Cr 0.500 0.500 0.833
Si 0.166 0.333 0.500
Si 0.166 0.834 0.833
Si 0.333 0.166 0.167
Si 0.667 0.834 0.167
Si 0.834 0.166 0.833
Si 0.834 0.667 0.500

Size of the total moment readings, ordered: 0.000 0.000 μB/f.u.
E_tot readings, ordered: -65.11 -118.05 eV per cell
Formation energy without anion corrections readings, ordered: 0.016 -0.311 eV/atom